# 1
Below is a geometry-optimized MgMoSCl2 structure, with properties calculated at the PBE level.

Properties
Symmetry   No. 123
Raw formation energy   -118 meV/atom
Density of states at the Fermi level   0.48 states/eV/atom
E_tot   -4.17 eV/atom

Cell lengths 4.628, 4.628, 5.254 Å; angles 90.00, 90.00, 90.00 degrees
Site moments in Bohr magnetons follow the coordinates.
Positions (direct):
Cl1 0.500 0.000 0.000  0.01
Cl2 0.000 0.500 0.000  0.01
S1 0.000 0.000 0.500  -0.17
Mg1 0.000 0.000 0.000  0.00
Mo1 0.500 0.500 0.500  3.60



# 2
Below is a geometry-optimized AuSN structure, with properties calculated at the PBE level.

Properties
Symmetry   No. 1
Raw formation energy   239 meV/atom
Density of states at the Fermi level   0.40 states/eV/atom
E_tot   -5.00 eV/atom

Cell lengths 4.247, 3.969, 10.809 Å; angles 116.10, 95.70, 90.05 degrees
Positions (direct):
Au1 0.519 0.118 0.676
N1 0.404 0.916 0.154
S1 0.740 0.743 0.781
N2 0.216 0.691 0.095
S2 0.879 0.868 0.468
Au2 0.100 0.494 0.573



# 3
Below is a geometry-optimized PrNd3Se6 structure, with properties calculated at the PBE level.

Properties
Symmetry   No. 11
Raw formation energy   -1878 meV/atom
E_tot   -5.88 eV/atom

Cell lengths 4.266, 11.895, 12.229 Å; angles 108.64, 90.00, 90.00 degrees
Positions (direct):
Se1 0.250 0.253 0.723
Se2 0.750 0.481 0.614
Nd1 0.250 0.318 0.497
Se3 0.750 0.113 0.464
Se4 0.250 0.191 0.250
Nd2 0.250 0.840 0.917
Se5 0.250 0.602 0.937
Se6 0.750 0.398 0.063
Se7 0.750 0.809 0.750
Pr1 0.750 0.045 0.691
Se8 0.750 0.747 0.277
Se9 0.250 0.084 0.901
Nd3 0.750 0.682 0.503
Nd4 0.750 0.160 0.083
Pr2 0.250 0.955 0.309
Se10 0.250 0.519 0.386
Nd5 0.250 0.568 0.169
Se11 0.250 0.887 0.536
Nd6 0.750 0.432 0.831
Se12 0.750 0.916 0.099



Please write out number 1 again, unchanged.
Below is a geometry-optimized MgMoSCl2 structure, with properties calculated at the PBE level.

Properties
Symmetry   No. 123
Raw formation energy   -118 meV/atom
Density of states at the Fermi level   0.48 states/eV/atom
E_tot   -4.17 eV/atom

Cell lengths 4.628, 4.628, 5.254 Å; angles 90.00, 90.00, 90.00 degrees
Site moments in Bohr magnetons follow the coordinates.
Positions (direct):
Cl1 0.500 0.000 0.000  0.01
Cl2 0.000 0.500 0.000  0.01
S1 0.000 0.000 0.500  -0.17
Mg1 0.000 0.000 0.000  0.00
Mo1 0.500 0.500 0.500  3.60



Among the records above, which one has the highest raw formation energy? AuSN



What did the third record say?
Below is a geometry-optimized PrNd3Se6 structure, with properties calculated at the PBE level.

Properties
Symmetry   No. 11
Raw formation energy   -1878 meV/atom
E_tot   -5.88 eV/atom

Cell lengths 4.266, 11.895, 12.229 Å; angles 108.64, 90.00, 90.00 degrees
Positions (direct):
Se1 0.250 0.253 0.723
Se2 0.750 0.481 0.614
Nd1 0.250 0.318 0.497
Se3 0.750 0.113 0.464
Se4 0.250 0.191 0.250
Nd2 0.250 0.840 0.917
Se5 0.250 0.602 0.937
Se6 0.750 0.398 0.063
Se7 0.750 0.809 0.750
Pr1 0.750 0.045 0.691
Se8 0.750 0.747 0.277
Se9 0.250 0.084 0.901
Nd3 0.750 0.682 0.503
Nd4 0.750 0.160 0.083
Pr2 0.250 0.955 0.309
Se10 0.250 0.519 0.386
Nd5 0.250 0.568 0.169
Se11 0.250 0.887 0.536
Nd6 0.750 0.432 0.831
Se12 0.750 0.916 0.099



E_tot of number 3 (PrNd3Se6)? -5.88 eV/atom